Here is a geometry-optimized Mo3PI structure from Alexandria. Energies are from PBE.

a b c (Å): 4.5751 4.5751 4.5751
angles (deg): 90.00 90.00 90.00
Atoms (fractional coordinates):
Mo 0.0000 0.5000 0.0000
Mo 0.5000 0.0000 0.0000
Mo 0.0000 0.0000 0.5000
I 0.5000 0.5000 0.5000
P 0.0000 0.0000 0.0000

The value obtained for the density of states at the Fermi level is 6.1 states/eV/f.u. For the uncorrected formation energy, the calculation gives 88.25 kJ per mole of atoms.



Here is a geometry-optimized MoPI3 structure from Alexandria. Energies are from PBE.

a b c (Å): 5.5225 5.5225 5.5225
angles (deg): 90.00 90.00 90.00
Site moments in Bohr magnetons follow the coordinates.
Atoms (fractional coordinates):
Mo 0.5000 0.5000 0.5000  4.02
I 0.0000 0.5000 0.0000  0.01
I 0.5000 0.0000 0.0000  0.00
I 0.0000 0.0000 0.5000  0.00
P 0.0000 0.0000 0.0000  -0.02

The value obtained for the density of states at the Fermi level is 1.7 states/eV/f.u. For the uncorrected formation energy, the calculation gives 95.08 kJ per mole of atoms.



Here is a geometry-optimized Mo3PI structure from Alexandria. Energies are from PBE.

a b c (Å): 4.8782 4.8782 4.8782
angles (deg): 90.00 90.00 90.00
Atoms (fractional coordinates):
I 0.0000 0.0000 0.0000
Mo 0.0000 0.5000 0.0000
Mo 0.0000 0.0000 0.5000
Mo 0.5000 0.0000 0.0000
P 0.5000 0.5000 0.5000

The value obtained for the density of states at the Fermi level is 3.6 states/eV/f.u. For the uncorrected formation energy, the calculation gives 229.23 kJ per mole of atoms.



Here is a geometry-optimized MoPI3 structure from Alexandria. Energies are from PBE.

a b c (Å): 5.3835 5.3835 5.3835
angles (deg): 90.00 90.00 90.00
Atoms (fractional coordinates):
I 0.0000 0.0000 0.5000
I 0.0000 0.5000 0.0000
I 0.5000 0.0000 0.0000
P 0.5000 0.5000 0.5000
Mo 0.0000 0.0000 0.0000

The value obtained for the density of states at the Fermi level is 9.6 states/eV/f.u. For the uncorrected formation energy, the calculation gives 93.21 kJ per mole of atoms.